1.
SnMo12PbS16 PBEsol optimized geometry; raw formation energy = -0.741 eV per atom; space group = P-1; total magnetization = 0.0 μB per formula unit; density = 6.13 g/cm³
1.0
6.461 0.015 0.010
0.101 6.460 0.014
0.210 0.191 12.919
Sn Mo Pb S
1 12 1 16
Cartesian
0.105 0.095 6.459
1.639 2.817 10.089
1.540 2.765 3.652
3.799 1.559 9.143
3.704 1.505 2.706
2.871 3.739 7.901
2.767 3.676 1.456
5.231 3.900 9.291
5.131 3.848 2.854
3.067 5.160 10.237
2.971 5.106 3.800
4.004 2.989 11.487
3.900 2.926 5.042
0.000 0.000 0.000
4.967 2.557 7.276
4.858 2.515 0.832
1.029 4.925 8.921
0.930 4.862 2.497
2.671 0.965 11.260
2.550 0.909 4.824
1.913 4.150 12.111
1.804 4.108 5.667
5.841 1.803 10.446
5.742 1.740 4.022
4.221 5.756 8.119
4.100 5.700 1.683
1.714 1.667 8.012
1.618 1.609 1.586
5.153 5.056 11.357
5.057 4.999 4.931


2.
Fe2NiIr PBEsol optimized geometry; formation energy = -2 kJ/mol of formula units; space group = I-4m2; total magnetization = 3.9 μB per formula unit; density = 13.18 g/cm³
1.0
3.604 0.000 0.000
0.000 3.604 0.000
-1.802 -1.802 3.517
Ni Ir Fe
1 1 2
Cartesian
0.000 1.802 1.758
1.802 1.802 0.000
0.000 0.000 0.000
1.802 0.000 1.758


3.
Li2Ti3MnO8 PBEsol optimized geometry; raw formation energy = -2.660 eV per atom; space group = P2_13; total magnetization = 5.0 μB per formula unit; relative energy among the computed polymorphs = 0 meV/atom; density = 3.85 g/cm³
1.0
-6.776 -4.415 2.181
4.915 -5.841 3.447
-0.296 4.068 7.316
Li Ti Mn O
8 12 4 32
Cartesian
-2.658 -1.391 9.052
-3.924 -3.722 4.330
-1.622 -4.654 9.737
-2.960 -5.991 6.803
-0.271 -0.777 1.626
-0.660 0.475 6.880
1.893 -4.473 4.940
1.576 -4.215 8.408
-3.767 -0.870 6.367
-0.045 -6.268 7.163
-1.270 -5.885 4.386
-4.198 -3.556 7.767
-5.579 -1.040 8.826
-1.707 -8.507 5.902
0.962 -1.218 4.271
2.089 -1.704 6.944
3.207 -2.157 9.756
-2.051 -0.776 3.980
-0.778 -3.363 2.955
0.198 -1.781 9.348
1.520 -8.045 4.541
-6.917 -2.379 5.844
2.161 1.139 9.038
-1.077 -3.090 6.464
-1.288 -2.713 10.002
-2.228 -4.472 3.616
-3.710 -1.769 4.561
-0.049 -5.507 8.873
-1.167 -5.049 6.204
-0.119 -7.294 5.368
-3.990 -0.064 8.090
-2.779 -2.402 7.201
-2.691 -7.024 4.980
-1.617 -7.462 7.505
-5.359 -2.018 7.018
-4.442 -2.459 9.427
-5.411 -4.058 3.056
-1.916 -5.498 11.502
-3.244 -4.923 8.620
-4.340 -4.534 6.096
3.540 -5.124 4.037
-0.475 2.451 6.989
0.974 -0.274 6.056
2.016 -2.515 5.258
3.186 -2.941 7.911
1.947 -0.819 8.808
0.854 -2.240 2.655
-0.390 0.077 3.555
1.546 -3.026 10.153
0.440 -2.608 7.638
-0.782 -2.244 4.695
-1.890 -1.927 2.347
-0.869 -0.294 8.701
0.339 -4.834 3.770
1.634 -5.431 6.663
-2.225 -0.004 5.752


4.
NaLi3Sn PBEsol optimized geometry; formation energy = -48 kJ/mol of formula units; space group = Pm-3m; total magnetization = 0.0 μB per formula unit; density = 1.92 g/cm³
1.0
-1.538 4.536 2.034
-4.648 -2.068 1.096
1.763 -1.492 4.663
Na Sn Li
1 1 3
Cartesian
-2.211 0.488 3.896
0.000 0.000 0.000
-2.324 -1.034 0.548
0.882 -0.746 2.331
-0.769 2.268 1.017


5.
NdNb3O9 PBEsol optimized geometry; raw formation energy = -2.770 eV per atom; space group = P2_1/c; total magnetization = 0.0 μB per formula unit; density = 5.61 g/cm³
1.0
5.359 0.000 -0.005
0.000 7.606 0.000
-0.594 0.000 16.481
Nd Nb O
4 12 36
Cartesian
2.480 5.705 0.532
2.285 1.902 15.944
2.582 1.902 7.703
2.183 5.705 8.773
-0.115 7.585 6.595
4.879 0.021 9.881
5.176 3.782 1.640
-0.412 3.824 14.836
-0.088 3.906 6.598
4.852 3.700 9.878
5.149 0.103 1.638
-0.385 7.503 14.839
2.484 7.407 4.139
2.281 0.199 12.337
2.578 3.604 4.096
2.187 4.002 12.380
1.981 5.659 4.287
2.784 1.947 12.189
3.081 1.856 3.948
1.684 5.751 12.528
0.967 3.514 8.523
3.797 4.092 7.953
3.500 7.318 16.194
1.265 0.289 0.282
0.586 5.715 6.932
4.179 1.892 9.544
4.476 1.912 1.303
0.288 5.695 15.173
0.829 3.379 3.145
3.935 4.228 13.331
4.233 7.182 5.091
0.532 0.424 11.385
0.551 3.401 11.373
4.214 4.205 5.103
3.917 7.204 13.344
0.848 0.402 3.133
1.267 3.506 0.286
3.498 4.101 16.191
3.795 7.309 7.950
0.970 0.297 8.526
3.394 7.119 2.348
1.371 0.487 14.129
1.668 3.316 5.888
3.097 4.290 10.588
0.281 5.705 1.563
4.484 1.901 14.914
4.781 1.902 6.673
-0.016 5.704 9.803
3.376 4.245 2.345
1.389 3.362 14.131
1.686 0.442 5.890
3.078 7.165 10.586


6.
RuPt3Pb PBEsol optimized geometry; formation energy = 989 kJ/mol of formula units; space group = Pm-3m; total magnetization = 3.3 μB per formula unit; density = 12.48 g/cm³
1.0
-0.727 -2.751 4.010
-1.166 -3.838 -2.844
4.722 -1.371 -0.085
Pb Ru Pt
1 1 3
Cartesian
0.000 0.000 0.000
1.415 -3.980 0.541
-0.583 -1.919 -1.422
2.361 -0.685 -0.042
-0.363 -1.376 2.005


7.
Ca3Mg PBEsol optimized geometry; formation energy = -5 kJ/mol of formula units; space group = Pmmn; total magnetization = 0.0 μB per formula unit; density = 1.71 g/cm³
1.0
-4.251 2.632 3.302
-4.456 -2.505 -3.740
-0.306 -5.953 4.352
Ca Mg
6 2
Cartesian
-3.681 0.441 0.345
-0.984 -4.897 2.638
-6.057 -5.221 1.800
-3.053 -4.607 -0.259
-0.830 -1.903 0.449
-5.905 -2.263 -0.362
-3.040 -1.709 -2.552
-3.695 -2.456 2.638


8.
HfTiH2 PBEsol optimized geometry; space group = I-42d; uncorrected energy = -26.76 eV/f.u.; total magnetization = 0.0 μB per formula unit; density = 8.63 g/cm³
1.0
4.337 0.000 0.000
0.000 4.337 0.000
-2.169 -2.169 4.674
H Hf Ti
4 2 2
Cartesian
3.155 1.084 1.168
1.182 3.253 1.168
1.084 0.987 3.505
-1.084 -0.987 3.505
0.000 2.169 2.337
0.000 0.000 0.000
2.169 0.000 2.337
2.169 2.169 0.000


9.
Ca5Tl3 PBEsol optimized geometry; formation energy = -283 kJ/mol of formula units; space group = I4/mcm; total magnetization = 0.0 μB per formula unit; relative energy among the computed polymorphs = 28 meV/atom; density = 5.51 g/cm³
1.0
-4.782 -3.552 -1.867
2.939 -8.857 -1.115
-4.407 -3.509 7.524
Ca Tl
10 6
Cartesian
-4.321 -8.847 1.804
-1.930 -7.071 2.737
-0.757 -10.210 0.487
-5.493 -5.708 4.055
-7.339 -8.934 4.482
1.089 -6.984 0.059
-1.575 -10.914 3.921
-4.675 -5.004 0.620
-1.075 -4.108 0.132
-5.175 -11.810 4.409
-3.587 -2.664 -1.401
-1.196 -0.888 -0.467
-3.771 -8.514 4.979
-2.480 -7.404 -0.438
-3.809 -12.003 1.279
-2.441 -3.915 3.262


10.
SrLa2Cu PBEsol optimized geometry; formation energy = 123 kJ/mol of formula units; space group = P4/mmm; total magnetization = 0.0 μB per formula unit; relative energy among the computed polymorphs = 286 meV/atom; density = 5.98 g/cm³
1.0
4.297 0.000 0.000
0.000 5.265 0.000
0.000 0.000 5.265
Cu La Sr
1 2 1
Cartesian
2.148 0.000 0.000
0.000 0.000 2.632
0.000 2.632 0.000
2.148 2.632 2.632


11.
YCrRu PBEsol optimized geometry; formation energy = 153 kJ/mol of formula units; space group = F-43m; total magnetization = 2.8 μB per formula unit; relative energy among the computed polymorphs = 0 meV/atom; density = 6.71 g/cm³
1.0
4.390 0.000 0.000
2.195 3.802 0.000
2.195 1.267 3.585
Cr Ru Y
1 1 1
Cartesian
4.390 2.535 1.792
2.195 1.267 0.896
0.000 0.000 0.000


12.
La4Ni3Sn8 PBEsol optimized geometry; formation energy = -1014 kJ/mol of formula units; space group = Pmm2; total magnetization = 0.0 μB per formula unit; density = 7.77 g/cm³
1.0
-1.198 -3.687 -2.265
1.591 -2.570 3.342
-15.929 0.350 7.852
La Ni Sn
4 3 8
Cartesian
-10.277 -1.631 3.638
-1.680 0.037 0.828
-13.421 -0.972 8.679
-6.046 -2.991 3.615
-5.051 0.111 2.490
-10.211 -1.043 7.096
-2.682 -3.065 1.957
-15.536 -1.515 6.231
-7.253 0.160 3.576
-7.997 -1.092 6.005
-0.468 -3.114 0.866
-12.061 0.265 5.946
-4.555 -1.757 0.817
-11.880 -2.863 6.491
-3.167 -1.198 3.624